Ba2H6Au3 | Alexandria | PBE | optimized geometry; raw total energy = -3.391 eV per atom; N(E_F) = 4.1 states/eV/cell
1.0
-0.863 6.494 5.572
-3.001 1.648 7.644
7.521 2.138 7.370
H Ba Au
12 4 6
Cartesian
5.488 7.778 14.063
2.922 7.993 16.845
0.761 4.336 12.079
0.735 2.287 3.741
3.487 5.098 11.134
0.170 5.183 9.451
2.896 5.945 8.506
-0.053 6.009 6.917
3.710 4.272 13.669
1.428 2.560 7.108
2.229 7.721 13.478
-1.832 2.503 6.522
-0.418 4.697 4.625
4.075 5.584 15.960
2.215 3.191 9.535
1.442 7.090 11.050
3.881 7.846 13.619
2.212 4.197 12.930
1.445 6.083 7.656
4.625 5.752 10.090
-0.968 4.529 10.496
-0.224 2.435 6.967